Entry 1:
This record from the Alexandria database describes Cs2NaTeCl6 after structural relaxation. The functional is GGA-PBE.

Output
As for the calculated volume: 33.47 A^3/atom. The electronic total energy is -30.4 eV/f.u. The space group is I4/mmm, No. 139. The formation energy without anion corrections comes out at -127 kJ per mole of atoms. The value obtained for the density of states at the Fermi level is 3.1 states/eV/cell.

Cell and atoms, written as POSCAR:
```
Cs2NaTeCl6
1.0
-3.9389 3.9389 5.3933
3.9389 -3.9389 5.3933
3.9389 3.9389 -5.3933
Cs Na Te Cl
2 1 1 6
Direct
0.2500 0.7500 0.5000
0.7500 0.2500 0.5000
0.0000 0.0000 0.0000
0.5000 0.5000 0.0000
0.2493 0.2493 0.4985
0.2493 0.7507 0.0000
0.2627 0.2627 0.0000
0.7373 0.7373 0.0000
0.7507 0.2493 0.0000
0.7507 0.7507 0.5015
```

Entry 2:
This record from the Alexandria database describes Cs2NaTeCl after structural relaxation. The functional is GGA-PBE.

Output
As for the calculated volume: 45.56 A^3/atom. The electronic total energy is -13.8 eV/f.u. The space group is P4/mmm, No. 123. The formation energy without anion corrections comes out at -112 kJ per mole of atoms.

Cell and atoms, written as POSCAR:
```
Cs2NaTeCl
1.0
6.5173 0.0000 0.0000
0.0000 6.5173 0.0000
0.0000 0.0000 5.3631
Cs Na Te Cl
2 1 1 1
Direct
0.0000 0.5000 0.0000
0.5000 0.0000 0.0000
0.0000 0.0000 0.5000
0.5000 0.5000 0.5000
0.0000 0.0000 0.0000
```

Entry 3:
This record from the Alexandria database describes CsNa2ThCl8 after structural relaxation. The functional is GGA-PBE.

Output
As for the calculated volume: 33.00 A^3/atom. The electronic total energy is -47.4 eV/f.u. The space group is P-1, No. 2. The formation energy without anion corrections comes out at -174 kJ per mole of atoms. The value obtained for the density of states at the Fermi level is 1.4 states/eV/cell.

Cell and atoms, written as POSCAR:
```
CsNa2ThCl8
1.0
5.7505 0.0000 0.0000
-0.0354 6.9963 0.0000
-0.0272 -0.0058 9.8420
Cs Na Th Cl
1 2 1 8
Direct
0.0000 0.0000 0.0000
0.5004 0.5000 0.2711
0.4996 0.5000 0.7289
0.0000 0.0000 0.5000
0.2486 0.8408 0.2983
0.2502 0.8422 0.7024
0.2534 0.4914 0.0000
0.2552 0.3248 0.4996
0.7448 0.6752 0.5004
0.7466 0.5086 0.0000
0.7498 0.1578 0.2976
0.7514 0.1592 0.7017
```

Entry 4:
This record from the Alexandria database describes CsNaTi2Cl8 after structural relaxation. The functional is GGA-PBE.

Output
As for the calculated volume: 32.66 A^3/atom. The electronic total energy is -52.5 eV/f.u. The space group is R-3, No. 148. The formation energy without anion corrections comes out at -159 kJ per mole of atoms. The value obtained for the density of states at the Fermi level is 13.8 states/eV/cell.

Cell and atoms, written as POSCAR:
```
CsNaTi2Cl8
1.0
3.3951 1.9601 9.8157
-3.3951 1.9601 9.8157
0.0000 -3.9203 9.8157
Cs Na Ti Cl
1 1 2 8
Direct
0.0000 0.0000 0.0000
0.5000 0.5000 0.5000
0.2465 0.2465 0.2465
0.7535 0.7535 0.7535
0.0950 0.4488 0.7820
0.2180 0.9050 0.5512
0.3238 0.3238 0.3238
0.4488 0.7820 0.0950
0.5512 0.2180 0.9050
0.6762 0.6762 0.6762
0.7820 0.0950 0.4488
0.9050 0.5512 0.2180
```

Entry 5:
This record from the Alexandria database describes Cs3NaTi2Cl9 after structural relaxation. The functional is GGA-PBE.

Output
As for the calculated volume: 28.27 A^3/atom. The electronic total energy is -62.9 eV/f.u. The space group is P-3m1, No. 164. The formation energy without anion corrections comes out at -171 kJ per mole of atoms. The value obtained for the density of states at the Fermi level is 8.4 states/eV/cell.

Cell and atoms, written as POSCAR:
```
Cs3NaTi2Cl9
1.0
7.3446 0.0000 0.0000
-3.6723 6.3606 0.0000
0.0000 0.0000 9.0775
Cs Na Ti Cl
3 1 2 9
Direct
0.0000 0.0000 0.0000
0.3333 0.6667 0.6553
0.6667 0.3333 0.3447
0.0000 0.0000 0.5000
0.3333 0.6667 0.1562
0.6667 0.3333 0.8438
0.0000 0.5000 0.0000
0.1763 0.3525 0.3135
0.1763 0.8237 0.3135
0.3525 0.1763 0.6865
0.5000 0.0000 0.0000
0.5000 0.5000 0.0000
0.6475 0.8237 0.3135
0.8237 0.1763 0.6865
0.8237 0.6475 0.6865
```

Entry 6:
This record from the Alexandria database describes CsNaTiCl6 after structural relaxation. The functional is GGA-PBE.

Output
As for the calculated volume: 34.74 A^3/atom. The electronic total energy is -36.8 eV/f.u. The space group is P312, No. 149. The formation energy without anion corrections comes out at -167 kJ per mole of atoms. The value obtained for the density of states at the Fermi level is 0.0 states/eV/cell.

Cell and atoms, written as POSCAR:
```
CsNaTiCl6
1.0
6.9689 0.0000 0.0000
-3.4845 6.0353 0.0000
0.0000 0.0000 7.4326
Cs Na Ti Cl
1 1 1 6
Direct
0.0000 0.0000 0.0000
0.3333 0.6667 0.5000
0.6667 0.3333 0.5000
0.4001 0.0491 0.6857
0.4001 0.3510 0.3143
0.6490 0.0491 0.3143
0.6490 0.5999 0.6857
0.9509 0.3510 0.6857
0.9509 0.5999 0.3143
```